[1]
The following is a DFT calculation (PBE-GGA) of an optimized crystal structure of RbSc3Se4O12.

Results
- energy relative to the elements, uncorrected (eV per atom) = -1.578
- total magnetization (μB per formula unit) = 0.93
- calculated total energy (eV/atom) = -6.248

a b c (Å): 11.9881 11.9881 7.9368
angles (deg): 90.00 90.00 120.00
Space group R32 (No. 155, hexagonal axes)
Unique sites:
Rb (0.0000, 0.0000, 0.0000) x3
Sc (0.0000, 0.5749, 0.0000) x9
Se (0.0000, 0.0000, 0.5000) x3
Se (0.0000, 0.4273, 0.5000) x9
O (0.0000, 0.6210, 0.5000) x9
O (0.0000, 0.8415, 0.5000) x9
O (0.0596, 0.2607, 0.1691) x18

=====

[2]
The following is a DFT calculation (PBE-GGA) of an optimized crystal structure of Rb2ScSe2O6.

Results
- energy relative to the elements, uncorrected (eV per atom) = -1.524
- total magnetization (μB per formula unit) = 0.00
- calculated total energy (eV/atom) = -5.614

a b c (Å): 9.5492 6.0972 7.1556
angles (deg): 90.00 110.73 90.00
Space group C2/m (No. 12)
Unique sites:
Rb (0.2023, 0.0000, 0.1416) x4
Sc (0.0000, 0.0000, 0.5000) x2
Se (0.0827, 0.5000, 0.2578) x4
O (0.0137, 0.2441, 0.7231) x8
O (0.2389, 0.0000, 0.5603) x4